(1)
A relaxed structure of Rb4NpS2ClO10, computed with PBEsol.

Total moment ... 2.0 μB per formula unit
Crystal system ... monoclinic
Formation energy (no corrections) ... -36.78 eV per formula unit

abc: 4.533 10.530 14.806
angles: 102.55 90.00 90.00
Fractional positions:
Rb (0.230, 0.057, 0.893)
Rb (0.770, 0.438, 0.870)
Rb (0.770, 0.943, 0.107)
Rb (0.770, 0.062, 0.630)
Rb (0.230, 0.443, 0.607)
Rb (0.770, 0.557, 0.393)
Rb (0.230, 0.938, 0.370)
Rb (0.230, 0.562, 0.130)
Np (0.268, 0.250, 0.250)
Np (0.732, 0.750, 0.750)
S (0.653, 0.229, 0.426)
S (0.347, 0.771, 0.574)
S (0.653, 0.271, 0.074)
S (0.347, 0.729, 0.926)
Cl (0.733, 0.750, 0.250)
Cl (0.267, 0.250, 0.750)
O (0.269, 0.430, 0.285)
O (0.256, 0.602, 0.943)
O (0.744, 0.398, 0.057)
O (0.261, 0.662, 0.499)
O (0.739, 0.338, 0.501)
O (0.744, 0.102, 0.443)
O (0.676, 0.770, 0.588)
O (0.771, 0.251, 0.166)
O (0.261, 0.838, 0.001)
O (0.229, 0.751, 0.666)
O (0.256, 0.898, 0.557)
O (0.771, 0.249, 0.334)
O (0.324, 0.270, 0.088)
O (0.676, 0.730, 0.912)
O (0.229, 0.749, 0.834)
O (0.324, 0.230, 0.412)
O (0.731, 0.570, 0.715)
O (0.739, 0.162, 0.999)
O (0.269, 0.070, 0.215)
O (0.731, 0.930, 0.785)

***

(2)
A relaxed structure of ScCuPt2, computed with PBEsol.

Total moment ... 0.0 μB per formula unit
Crystal system ... tetragonal
Calculated formation energy ... -0.80 eV/atom

abc: 3.821 3.821 4.902
angles: 112.94 112.94 90.00
Fractional positions:
Sc (0.500, 0.500, 0.000)
Pt (0.000, 0.000, 0.000)
Pt (0.250, 0.750, 0.500)
Cu (0.750, 0.250, 0.500)

***

(3)
A relaxed structure of NiNClF2, computed with PBEsol.

Total moment ... 0.0 μB per formula unit
Crystal system ... tetragonal
Formation energy (no corrections) ... 0.14 eV per formula unit

abc: 3.735 3.735 3.854
angles: 90.00 90.00 90.00
Fractional positions:
Ni (0.000, 0.000, 0.000)
N (0.000, 0.000, 0.500)
F (0.000, 0.500, 0.000)
F (0.500, 0.000, 0.000)
Cl (0.500, 0.500, 0.500)

***

(4)
A relaxed structure of KCdMo, computed with PBEsol.

Total moment ... 4.3 μB per formula unit
Crystal system ... cubic
Energy above the lowest structure with this stoichiometry ... 0 meV per atom
Calculated formation energy ... 1.70 eV/atom

abc: 5.104 5.104 5.104
angles: 60.00 60.00 60.00
Fractional positions:
Cd (0.000, 0.000, 0.000)
K (0.500, 0.500, 0.500)
Mo (0.250, 0.250, 0.250)

***

(5)
A relaxed structure of Tl2CoW, computed with PBEsol.

Total moment ... 1.0 μB per formula unit
Crystal system ... trigonal
Calculated formation energy ... 0.85 eV/atom

abc: 3.024 3.024 8.968
angles: 80.29 80.29 60.00
Fractional positions:
Co (0.000, 0.000, 0.000)
Tl (0.257, 0.257, 0.230)
Tl (0.743, 0.743, 0.770)
W (0.500, 0.500, 0.500)

***

(6)
A relaxed structure of Sm3SbO3, computed with PBEsol.

Total moment ... 0.0 μB per formula unit
Crystal system ... monoclinic
Formation energy (no corrections) ... -19.63 eV per formula unit

abc: 3.938 6.936 10.640
angles: 82.05 79.34 73.51
Fractional positions:
Sm (0.129, 0.640, 0.102)
Sm (0.345, 0.103, 0.207)
Sm (0.881, 0.797, 0.441)
Sm (0.119, 0.203, 0.559)
Sm (0.655, 0.897, 0.793)
Sm (0.871, 0.360, 0.898)
Sb (0.621, 0.438, 0.320)
Sb (0.379, 0.562, 0.680)
O (0.339, 0.311, 0.012)
O (0.936, 0.928, 0.201)
O (0.310, 0.969, 0.410)
O (0.690, 0.031, 0.590)
O (0.064, 0.072, 0.799)
O (0.661, 0.689, 0.988)

***

(7)
A relaxed structure of Li3CuO2, computed with PBEsol.

Total moment ... 0.0 μB per formula unit
Crystal system ... monoclinic
Formation energy (no corrections) ... -8.55 eV per formula unit

abc: 5.041 6.339 8.693
angles: 90.00 90.00 115.79
Fractional positions:
Li (0.739, 0.495, 0.990)
Li (0.602, 0.367, 0.529)
Li (0.024, 0.309, 0.697)
Li (0.898, 0.133, 0.029)
Li (0.476, 0.191, 0.197)
Li (0.761, 0.005, 0.490)
Li (0.239, 0.995, 0.510)
Li (0.524, 0.809, 0.803)
Li (0.102, 0.867, 0.971)
Li (0.976, 0.691, 0.303)
Li (0.398, 0.633, 0.471)
Li (0.261, 0.505, 0.010)
Cu (0.052, 0.322, 0.314)
Cu (0.448, 0.178, 0.814)
Cu (0.552, 0.822, 0.186)
Cu (0.948, 0.678, 0.686)
O (0.891, 0.395, 0.152)
O (0.197, 0.284, 0.495)
O (0.609, 0.105, 0.652)
O (0.303, 0.216, 0.995)
O (0.697, 0.784, 0.005)
O (0.391, 0.895, 0.348)
O (0.803, 0.716, 0.505)
O (0.109, 0.605, 0.848)

***

(8)
A relaxed structure of WSCl2F, computed with PBEsol.

Total moment ... 0.1 μB per formula unit
Crystal system ... tetragonal
Formation energy (no corrections) ... -1.73 eV per formula unit

abc: 4.528 4.633 4.633
angles: 90.00 90.00 90.00
Fractional positions:
S (0.500, 0.000, 0.000)
F (0.500, 0.500, 0.500)
W (0.000, 0.000, 0.000)
Cl (0.000, 0.000, 0.500)
Cl (0.000, 0.500, 0.000)

***

(9)
A relaxed structure of Be2CuHg, computed with PBEsol.

Total moment ... 0.0 μB per formula unit
Crystal system ... cubic
Calculated formation energy ... 0.31 eV/atom

abc: 4.122 4.122 4.122
angles: 60.00 60.00 60.00
Fractional positions:
Be (0.000, 0.000, 0.000)
Be (0.750, 0.750, 0.750)
Hg (0.250, 0.250, 0.250)
Cu (0.500, 0.500, 0.500)

***

(10)
A relaxed structure of ZnSbF5, computed with PBEsol.

Total moment ... 0.0 μB per formula unit
Crystal system ... monoclinic
Energy above the lowest structure with this stoichiometry ... 40 meV per atom
Formation energy (no corrections) ... -15.90 eV per formula unit

abc: 5.263 5.263 8.685
angles: 102.22 99.12 112.92
Fractional positions:
Zn (0.741, 0.484, 0.247)
Zn (0.263, 0.506, 0.747)
Sb (0.027, 0.982, 0.005)
Sb (0.522, 0.978, 0.505)
F (0.653, 0.867, 0.846)
F (0.479, 0.194, 0.346)
F (0.484, 0.319, 0.657)
F (0.098, 0.786, 0.786)
F (0.124, 0.339, 0.913)
F (0.947, 0.279, 0.542)
F (0.764, 0.595, 0.042)
F (0.074, 0.789, 0.413)
F (0.838, 0.173, 0.157)
F (0.501, 0.688, 0.286)

***

(11)
A relaxed structure of RuRh2Au, computed with PBEsol.

Total moment ... 0.0 μB per formula unit
Crystal system ... trigonal
Energy above the lowest structure with this stoichiometry ... 23 meV per atom
Calculated formation energy ... 0.09 eV/atom

abc: 2.719 2.719 9.060
angles: 81.37 81.37 60.00
Fractional positions:
Rh (0.245, 0.245, 0.265)
Rh (0.755, 0.755, 0.735)
Au (0.000, 0.000, 0.000)
Ru (0.500, 0.500, 0.500)

***

(12)
A relaxed structure of AgSe5, computed with PBEsol.

Total moment ... 0.0 μB per formula unit
Crystal system ... cubic
Formation energy (no corrections) ... 3.69 eV per formula unit

abc: 5.584 5.584 5.584
angles: 60.00 60.00 60.00
Fractional positions:
Ag (0.000, 0.000, 0.000)
Se (0.250, 0.250, 0.250)
Se (0.624, 0.128, 0.624)
Se (0.624, 0.624, 0.128)
Se (0.624, 0.624, 0.624)
Se (0.128, 0.624, 0.624)

***

(13)
A relaxed structure of CaLa2In, computed with PBEsol.

Total moment ... 0.0 μB per formula unit
Crystal system ... cubic
Energy above the lowest structure with this stoichiometry ... 36 meV per atom
Calculated formation energy ... -0.22 eV/atom

abc: 5.618 5.618 5.618
angles: 60.00 60.00 60.00
Fractional positions:
Ca (0.000, 0.000, 0.000)
In (0.500, 0.500, 0.500)
La (0.250, 0.250, 0.250)
La (0.750, 0.750, 0.750)

***

(14)
A relaxed structure of LiCdPb2, computed with PBEsol.

Total moment ... 0.0 μB per formula unit
Crystal system ... tetragonal
Calculated formation energy ... -0.11 eV/atom

abc: 4.475 4.475 5.828
angles: 112.58 112.58 90.00
Fractional positions:
Pb (0.000, 0.000, 0.000)
Pb (0.750, 0.250, 0.500)
Cd (0.500, 0.500, 0.000)
Li (0.250, 0.750, 0.500)

***

(15)
A relaxed structure of LiLaTa2, computed with PBEsol.

Total moment ... 0.0 μB per formula unit
Crystal system ... tetragonal
Energy above the lowest structure with this stoichiometry ... 32 meV per atom
Calculated formation energy ... 0.38 eV/atom

abc: 3.461 3.461 7.171
angles: 90.00 90.00 90.00
Fractional positions:
La (0.000, 0.000, 0.485)
Li (0.500, 0.500, 0.801)
Ta (0.000, 0.000, 0.021)
Ta (0.500, 0.500, 0.193)

***

(16)
A relaxed structure of PtPb5, computed with PBEsol.

Total moment ... 0.0 μB per formula unit
Crystal system ... tetragonal
Energy above the lowest structure with this stoichiometry ... 0 meV per atom
Calculated formation energy ... -0.04 eV/atom

abc: 3.458 3.458 13.236
angles: 90.00 90.00 90.00
Fractional positions:
Pb (0.000, 0.000, 0.875)
Pb (0.000, 0.000, 0.125)
Pb (0.500, 0.500, 0.680)
Pb (0.500, 0.500, 0.320)
Pb (0.000, 0.000, 0.500)
Pt (0.500, 0.500, 0.000)

***

(17)
A relaxed structure of MgCdSe2F, computed with PBEsol.

Total moment ... 0.0 μB per formula unit
Crystal system ... tetragonal
Formation energy (no corrections) ... -3.37 eV per formula unit

abc: 3.527 5.438 5.438
angles: 90.00 90.00 90.00
Fractional positions:
Mg (0.500, 0.000, 0.000)
F (0.000, 0.000, 0.000)
Se (0.000, 0.000, 0.500)
Se (0.000, 0.500, 0.000)
Cd (0.500, 0.500, 0.500)

***

(18)
A relaxed structure of Sb2TeSI, computed with PBEsol.

Total moment ... 0.0 μB per formula unit
Crystal system ... tetragonal
Formation energy (no corrections) ... 2.36 eV per formula unit

abc: 5.327 5.228 5.228
angles: 90.00 90.00 90.00
Fractional positions:
I (0.500, 0.500, 0.500)
Sb (0.000, 0.000, 0.500)
Sb (0.000, 0.500, 0.000)
S (0.000, 0.000, 0.000)
Te (0.500, 0.000, 0.000)

***

(19)
A relaxed structure of RbHg2Te2, computed with PBEsol.

Total moment ... 0.0 μB per formula unit
Crystal system ... tetragonal
Energy above the lowest structure with this stoichiometry ... 0 meV per atom
Formation energy (no corrections) ... -1.74 eV per formula unit

abc: 5.041 5.041 7.663
angles: 109.20 109.20 90.00
Fractional positions:
Te (0.364, 0.364, 0.728)
Te (0.636, 0.636, 0.272)
Hg (0.250, 0.750, 0.500)
Hg (0.750, 0.250, 0.500)
Rb (0.000, 0.000, 0.000)

***

(20)
A relaxed structure of Sc2AlIn2, computed with PBEsol.

Total moment ... 0.3 μB per formula unit
Crystal system ... tetragonal
Calculated formation energy ... 0.07 eV/atom

abc: 3.937 3.937 8.167
angles: 103.95 103.95 90.00
Fractional positions:
Sc (0.406, 0.406, 0.812)
Sc (0.594, 0.594, 0.188)
Al (0.000, 0.000, 0.000)
In (0.250, 0.750, 0.500)
In (0.750, 0.250, 0.500)